1.
Computed, not measured: a geometry-optimized LiScFeTe3 structure at the PBE level of DFT.

Calculated values
The value obtained for the calculated volume is 302.0 Å³ per cell. For the energy relative to the lowest polymorph listed for this composition, the calculation gives 0.046 eV/atom. As for the energy: -60.08 eV per cell. The calculation puts the density at 5.39 g/cm³. The total magnetic moment is 6.856 μB/cell.

Cell and atoms, written as extended XYZ:
```
12
Lattice="3.960 0.000 0.000 1.980 7.092 0.000 0.000 0.000 10.753" Properties=species:S:1:pos:R:3 pbc="T T T"
Te 1.980 2.019 10.058
Te 3.960 5.074 4.681
Te 1.980 2.019 6.072
Te 3.960 1.330 2.688
Te 1.980 5.762 8.065
Te 3.960 5.074 0.695
Li 1.980 4.087 2.688
Li 3.960 3.006 8.065
Sc 0.000 0.000 5.377
Sc 0.000 0.000 0.000
Fe 1.980 0.381 8.065
Fe 3.960 6.712 2.688
```

=====

2.
Computed, not measured: a geometry-optimized LiScFeTe structure at the PBE level of DFT.

Calculated values
The value obtained for the calculated volume is 64.5 Å³ per cell. For the energy relative to the lowest polymorph listed for this composition, the calculation gives 0.322 eV/atom. As for the energy: -19.76 eV per cell. The calculation puts the density at 6.06 g/cm³. The total magnetic moment is 0.092 μB/cell.

Cell and atoms, written as extended XYZ:
```
4
Lattice="0.000 3.183 3.183 3.183 0.000 3.183 3.183 3.183 0.000" Properties=species:S:1:pos:R:3 pbc="T T T"
Li 4.775 4.775 4.775
Sc 0.000 0.000 0.000
Te 1.592 1.592 1.592
Fe 3.183 3.183 3.183
```

=====

3.
Computed, not measured: a geometry-optimized LiScFeTe structure at the PBE level of DFT.

Calculated values
The value obtained for the calculated volume is 72.2 Å³ per cell. For the energy relative to the lowest polymorph listed for this composition, the calculation gives 0.187 eV/atom. As for the energy: -20.30 eV per cell. The calculation puts the density at 5.41 g/cm³. The total magnetic moment is 1.750 μB/cell.

Cell and atoms, written as extended XYZ:
```
4
Lattice="0.000 3.305 3.305 3.305 0.000 3.305 3.305 3.305 0.000" Properties=species:S:1:pos:R:3 pbc="T T T"
Te 3.305 3.305 3.305
Fe 0.000 0.000 0.000
Sc 1.653 1.653 1.653
Li 4.958 4.958 4.958
```

=====

4.
Computed, not measured: a geometry-optimized LiScFeTe3 structure at the PBE level of DFT.

Calculated values
The value obtained for the calculated volume is 308.6 Å³ per cell. For the energy relative to the lowest polymorph listed for this composition, the calculation gives 0.000 eV/atom. As for the energy: -60.63 eV per cell. The calculation puts the density at 5.28 g/cm³. The total magnetic moment is 6.675 μB/cell.

Cell and atoms, written as extended XYZ:
```
12
Lattice="8.337 0.000 0.000 0.000 3.977 0.000 -2.465 0.000 9.307" Properties=species:S:1:pos:R:3 pbc="T T T"
Sc 4.856 2.983 7.848
Sc 1.017 0.994 1.459
Fe 2.569 2.983 3.915
Fe 3.303 0.994 5.392
Li 5.193 0.994 2.092
Li 0.679 2.983 7.215
Te 5.008 2.983 4.886
Te 7.249 2.983 1.484
Te -1.377 0.994 7.823
Te 3.135 2.983 1.358
Te 0.864 0.994 4.421
Te 2.737 0.994 7.949
```

=====

5.
Computed, not measured: a geometry-optimized LiScTlFe structure at the PBE level of DFT.

Calculated values
The value obtained for the calculated volume is 72.1 Å³ per cell. For the energy relative to the lowest polymorph listed for this composition, the calculation gives 0.072 eV/atom. As for the energy: -18.47 eV per cell. The calculation puts the density at 7.19 g/cm³. The total magnetic moment is 2.596 μB/cell.

Cell and atoms, written as extended XYZ:
```
4
Lattice="0.000 3.304 3.304 3.304 0.000 3.304 3.304 3.304 0.000" Properties=species:S:1:pos:R:3 pbc="T T T"
Li 3.304 3.304 3.304
Tl 0.000 0.000 0.000
Fe 4.955 4.955 4.955
Sc 1.652 1.652 1.652
```

=====

6.
Computed, not measured: a geometry-optimized LiScTlFe structure at the PBE level of DFT.

Calculated values
The value obtained for the calculated volume is 69.2 Å³ per cell. For the energy relative to the lowest polymorph listed for this composition, the calculation gives 0.000 eV/atom. As for the energy: -18.75 eV per cell. The calculation puts the density at 7.49 g/cm³. The total magnetic moment is 2.041 μB/cell.

Cell and atoms, written as extended XYZ:
```
4
Lattice="4.111 -1.152 -1.735 2.235 -3.688 1.624 0.423 -3.773 -2.612" Properties=species:S:1:pos:R:3 pbc="T T T"
Sc 3.385 -4.307 -1.362
Tl 0.000 0.000 0.000
Fe 5.077 -6.460 -2.042
Li 1.692 -2.153 -0.681
```

=====

7.
Computed, not measured: a geometry-optimized LiScZnFe structure at the PBE level of DFT.

Calculated values
The value obtained for the calculated volume is 57.2 Å³ per cell. For the energy relative to the lowest polymorph listed for this composition, the calculation gives 0.000 eV/atom. As for the energy: -17.59 eV per cell. The calculation puts the density at 5.03 g/cm³. The total magnetic moment is 0.499 μB/cell.

Cell and atoms, written as extended XYZ:
```
4
Lattice="4.101 -0.741 -1.153 2.041 -3.537 1.423 0.928 -3.212 -2.743" Properties=species:S:1:pos:R:3 pbc="T T T"
Zn 1.768 -1.872 -0.618
Li 0.000 0.000 0.000
Sc 5.303 -5.617 -1.854
Fe 3.535 -3.745 -1.236
```

=====

8.
Computed, not measured: a geometry-optimized LiScZnFe structure at the PBE level of DFT.

Calculated values
The value obtained for the calculated volume is 58.2 Å³ per cell. For the energy relative to the lowest polymorph listed for this composition, the calculation gives 0.032 eV/atom. As for the energy: -17.46 eV per cell. The calculation puts the density at 4.94 g/cm³. The total magnetic moment is 2.060 μB/cell.

Cell and atoms, written as extended XYZ:
```
4
Lattice="0.000 3.077 3.077 3.077 0.000 3.077 3.077 3.077 0.000" Properties=species:S:1:pos:R:3 pbc="T T T"
Li 3.077 3.077 3.077
Sc 1.538 1.538 1.538
Zn 0.000 0.000 0.000
Fe 4.615 4.615 4.615
```

=====

9.
Computed, not measured: a geometry-optimized LiScZnFe structure at the PBE level of DFT.

Calculated values
The value obtained for the calculated volume is 59.3 Å³ per cell. For the energy relative to the lowest polymorph listed for this composition, the calculation gives 0.099 eV/atom. As for the energy: -17.19 eV per cell. The calculation puts the density at 4.85 g/cm³. The total magnetic moment is 1.154 μB/cell.

Cell and atoms, written as extended XYZ:
```
4
Lattice="-2.841 -3.159 1.050 -1.218 -0.551 4.167 -4.064 1.038 1.247" Properties=species:S:1:pos:R:3 pbc="T T T"
Li -6.092 -2.004 4.848
Sc -2.031 -0.668 1.616
Zn 0.000 0.000 0.000
Fe -4.061 -1.336 3.232
```

=====

10.
Computed, not measured: a geometry-optimized LiYFeSe3 structure at the PBE level of DFT.

Calculated values
The value obtained for the calculated volume is 274.4 Å³ per cell. As for the energy: -67.26 eV per cell. The calculation puts the density at 4.70 g/cm³. The total magnetic moment is 7.987 μB/cell.

Cell and atoms, written as extended XYZ:
```
12
Lattice="-6.091 -2.430 -1.442 -3.995 -2.447 -4.810 3.459 -9.976 2.202" Properties=species:S:1:pos:R:3 pbc="T T T"
Se -0.077 -2.949 -0.033
Se -3.312 -12.317 -1.999
Se -6.551 -11.904 -4.017
Se -2.141 -5.926 -1.302
Se -3.316 -2.536 -2.051
Se -4.487 -8.927 -2.748
Li 0.349 -8.567 0.260
Li -6.977 -6.286 -4.310
Fe -3.961 -4.827 -2.441
Fe -2.667 -10.026 -1.610
Y 1.729 -4.988 1.101
Y 0.000 0.000 0.000
```

=====

11.
Computed, not measured: a geometry-optimized LiFe3Si5 structure at the PBE level of DFT.

Calculated values
The value obtained for the calculated volume is 124.0 Å³ per cell. As for the energy: -55.04 eV per cell. The calculation puts the density at 4.22 g/cm³. The total magnetic moment is 2.741 μB/cell.

Cell and atoms, written as extended XYZ:
```
9
Lattice="-1.906 -3.834 2.339 4.174 -0.483 -2.479 3.103 1.469 4.938" Properties=species:S:1:pos:R:3 pbc="T T T"
Si 2.749 -1.315 0.084
Si 2.622 -1.533 4.712
Si 0.723 -2.432 1.691
Si 1.551 0.735 2.469
Si 4.648 -0.416 3.106
Li 0.000 0.000 0.000
Fe 3.639 0.493 1.229
Fe 0.598 -1.183 3.638
Fe 2.686 -1.424 2.398
```

=====

12.
Computed, not measured: a geometry-optimized LiFeSiW structure at the PBE level of DFT.

Calculated values
The value obtained for the calculated volume is 47.4 Å³ per cell. For the energy relative to the lowest polymorph listed for this composition, the calculation gives 0.000 eV/atom. As for the energy: -28.82 eV per cell. The calculation puts the density at 9.63 g/cm³. The total magnetic moment is 0.001 μB/cell.

Cell and atoms, written as extended XYZ:
```
4
Lattice="0.000 2.872 2.872 2.872 0.000 2.872 2.872 2.872 0.000" Properties=species:S:1:pos:R:3 pbc="T T T"
Li 1.436 1.436 1.436
Si 0.000 0.000 0.000
W 2.872 2.872 2.872
Fe 4.307 4.307 4.307
```

=====

Repeat the third record exactly.
Computed, not measured: a geometry-optimized LiScFeTe structure at the PBE level of DFT.

Calculated values
The value obtained for the calculated volume is 72.2 Å³ per cell. For the energy relative to the lowest polymorph listed for this composition, the calculation gives 0.187 eV/atom. As for the energy: -20.30 eV per cell. The calculation puts the density at 5.41 g/cm³. The total magnetic moment is 1.750 μB/cell.

Cell and atoms, written as extended XYZ:
```
4
Lattice="0.000 3.305 3.305 3.305 0.000 3.305 3.305 3.305 0.000" Properties=species:S:1:pos:R:3 pbc="T T T"
Te 3.305 3.305 3.305
Fe 0.000 0.000 0.000
Sc 1.653 1.653 1.653
Li 4.958 4.958 4.958
```